An optimized crystal structure of Sr2TlHg3, computed with PBE-GGA.

- total DFT energy (no corrections) (eV per atom) = -1.4788
- calculated density (Mg/m³) = 8.377
- space group = Imm2 (44)
- formation enthalpy at 0 K (meV per atom) = -373

a = 4.315 Å, b = 4.705 Å, c = 10.098 Å
α = 103.47°, β = 102.34°, γ = 90.00°
Positions (direct):
Hg1 0.700 0.700 0.400
Tl1 0.458 0.958 0.916
Hg2 0.299 0.799 0.598
Sr1 0.126 0.126 0.251
Sr2 0.870 0.370 0.740
Hg3 0.547 0.547 0.094